A geometry-optimized CoCu2Se structure, computed with PBE.

a b c (Å): 6.951 6.951 4.753
angles (deg): 90.00 90.00 90.00
Space group I-42d (No. 122)
Inequivalent atoms, fractional coordinates:
Co: 0.000 0.000 0.000 [4 per cell]
Cu: 0.243 0.250 0.625 [8 per cell]
Se: 0.000 0.000 0.500 [4 per cell]

Computed properties:
Calculated total energy = -17.296 eV/f.u.

=====

A geometry-optimized CoCuSe2 structure, computed with PBE.

a b c (Å): 6.185 3.560 7.277
angles (deg): 90.00 107.05 90.00
Space group P2_1/m (No. 11)
Inequivalent atoms, fractional coordinates:
Co: 0.249 0.250 0.011 [2 per cell]
Cu: 0.162 0.750 0.504 [2 per cell]
Se: 0.136 0.750 0.179 [2 per cell]
Se: 0.348 0.750 0.831 [2 per cell]

Computed properties:
Calculated total energy = -18.790 eV/f.u.

=====

A geometry-optimized CoCuSe2 structure, computed with PBE.

a b c (Å): 3.144 7.397 7.937
angles (deg): 90.00 90.00 90.00
Space group Immm (No. 71)
Inequivalent atoms, fractional coordinates:
Co: 0.000 0.000 0.000 [2 per cell]
Cu: 0.000 0.500 0.000 [2 per cell]
Se: 0.000 0.260 0.500 [4 per cell]

Computed properties:
Calculated total energy = -17.078 eV/f.u.

=====

A geometry-optimized CoCu2Se structure, computed with PBE.

a b c (Å): 3.602 3.602 4.051
angles (deg): 90.00 90.00 90.00
Space group P4/mmm (No. 123)
Inequivalent atoms, fractional coordinates:
Co: 0.000 0.000 0.000 [1 per cell]
Cu: 0.000 0.500 0.500 [2 per cell]
Se: 0.500 0.500 0.000 [1 per cell]

Computed properties:
Calculated total energy = -17.906 eV/f.u.

=====

A geometry-optimized Co2CuSe structure, computed with PBE.

a b c (Å): 6.567 6.567 4.990
angles (deg): 90.00 90.00 90.00
Space group I-42d (No. 122)
Inequivalent atoms, fractional coordinates:
Co: 0.214 0.750 0.125 [8 per cell]
Cu: 0.000 0.000 0.500 [4 per cell]
Se: 0.000 0.000 0.000 [4 per cell]

Computed properties:
Calculated total energy = -20.115 eV/f.u.

=====

A geometry-optimized Co5CuSe8 structure, computed with PBE.

a b c (Å): 9.932 9.932 9.932
angles (deg): 90.00 90.00 90.00
Space group F-43m (No. 216)
Inequivalent atoms, fractional coordinates:
Co: 0.000 0.000 0.000 [4 per cell]
Co: 0.125 0.125 0.375 [16 per cell]
Cu: 0.250 0.250 0.750 [4 per cell]
Se: 0.113 0.113 0.613 [16 per cell]
Se: 0.133 0.133 0.133 [16 per cell]

Computed properties:
Calculated total energy = -71.621 eV/f.u.

=====

A geometry-optimized CoCu2Se structure, computed with PBE.

a b c (Å): 3.773 3.792 8.020
angles (deg): 90.00 90.00 90.00
Space group Cmmm (No. 65)
Inequivalent atoms, fractional coordinates:
Co: 0.000 0.000 0.000 [2 per cell]
Cu: 0.000 0.500 0.211 [4 per cell]
Se: 0.000 0.000 0.500 [2 per cell]

Computed properties:
Calculated total energy = -17.371 eV/f.u.

=====

A geometry-optimized CoCu2Se structure, computed with PBE.

a b c (Å): 4.992 9.176 2.927
angles (deg): 90.00 125.90 90.00
Space group C2/m (No. 12)
Inequivalent atoms, fractional coordinates:
Co: 0.000 0.000 0.000 [2 per cell]
Cu: 0.250 0.250 0.500 [4 per cell]
Se: 0.000 0.500 0.000 [2 per cell]

Computed properties:
Calculated total energy = -17.586 eV/f.u.

=====

A geometry-optimized CoCuSe2 structure, computed with PBE.

a b c (Å): 4.531 4.591 6.642
angles (deg): 90.00 90.00 90.00
Space group Amm2 (No. 38)
Inequivalent atoms, fractional coordinates:
Co: 0.000 0.000 0.000 [2 per cell]
Cu: 0.500 0.000 0.215 [2 per cell]
Se: 0.000 0.000 0.360 [2 per cell]
Se: 0.500 0.000 0.855 [2 per cell]

Computed properties:
Calculated total energy = -18.417 eV/f.u.

=====

A geometry-optimized CoCuSe2 structure, computed with PBE.

a b c (Å): 6.095 3.515 6.340
angles (deg): 90.00 108.45 90.00
Space group C2/m (No. 12)
Inequivalent atoms, fractional coordinates:
Co: 0.000 0.000 0.000 [2 per cell]
Cu: 0.000 0.500 0.500 [2 per cell]
Se: 0.240 0.500 0.222 [4 per cell]

Computed properties:
Calculated total energy = -18.430 eV/f.u.

=====

A geometry-optimized CoCuSe2 structure, computed with PBE.

a b c (Å): 6.215 6.215 6.215
angles (deg): 90.00 90.00 90.00
Space group Fm-3m (No. 225)
Inequivalent atoms, fractional coordinates:
Co: 0.000 0.000 0.000 [4 per cell]
Cu: 0.000 0.000 0.500 [4 per cell]
Se: 0.250 0.250 0.250 [8 per cell]

Computed properties:
Calculated total energy = -17.069 eV/f.u.

=====

A geometry-optimized CoCu4Se structure, computed with PBE.

a b c (Å): 6.877 6.877 6.877
angles (deg): 90.00 90.00 90.00
Space group F-43m (No. 216)
Inequivalent atoms, fractional coordinates:
Co: 0.000 0.000 0.000 [4 per cell]
Cu: 0.126 0.126 0.626 [16 per cell]
Se: 0.250 0.250 0.250 [4 per cell]

Computed properties:
Calculated total energy = -24.851 eV/f.u.

=====

A geometry-optimized CoCu2Se structure, computed with PBE.

a b c (Å): 3.124 3.124 5.454
angles (deg): 90.00 90.00 90.00
Space group P4mm (No. 99)
Inequivalent atoms, fractional coordinates:
Co: 0.000 0.000 0.000 [1 per cell]
Cu: 0.000 0.000 0.483 [1 per cell]
Cu: 0.500 0.500 0.268 [1 per cell]
Se: 0.500 0.500 0.806 [1 per cell]

Computed properties:
Calculated total energy = -18.166 eV/f.u.

=====

A geometry-optimized CoCuSe2 structure, computed with PBE.

a b c (Å): 5.419 5.419 10.889
angles (deg): 90.00 90.00 90.00
Space group I-42d (No. 122)
Inequivalent atoms, fractional coordinates:
Co: 0.000 0.000 0.000 [4 per cell]
Cu: 0.000 0.000 0.500 [4 per cell]
Se: 0.233 0.250 0.125 [8 per cell]

Computed properties:
Calculated total energy = -18.680 eV/f.u.

=====

A geometry-optimized Co3CuSe structure, computed with PBE.

a b c (Å): 4.349 4.349 4.349
angles (deg): 90.00 90.00 90.00
Space group Pm-3m (No. 221)
Inequivalent atoms, fractional coordinates:
Co: 0.000 0.000 0.500 [3 per cell]
Cu: 0.000 0.000 0.000 [1 per cell]
Se: 0.500 0.500 0.500 [1 per cell]

Computed properties:
Polymorph energy (0 for the lowest one) = 1.91 eV/f.u.
Calculated total energy = -23.011 eV/f.u.

=====

A geometry-optimized CoCuSe2 structure, computed with PBE.

a b c (Å): 3.269 3.269 6.735
angles (deg): 90.00 90.00 90.00
Space group P4mm (No. 99)
Inequivalent atoms, fractional coordinates:
Co: 0.000 0.000 0.000 [1 per cell]
Cu: 0.500 0.500 0.219 [1 per cell]
Se: 0.000 0.000 0.359 [1 per cell]
Se: 0.500 0.500 0.858 [1 per cell]

Computed properties:
Calculated total energy = -18.234 eV/f.u.

=====

A geometry-optimized CoCuSe2 structure, computed with PBE.

a b c (Å): 5.979 6.394 3.144
angles (deg): 90.00 90.00 90.00
Space group Cmmm (No. 65)
Inequivalent atoms, fractional coordinates:
Co: 0.000 0.000 0.000 [2 per cell]
Cu: 0.000 0.500 0.000 [2 per cell]
Se: 0.250 0.250 0.500 [4 per cell]

Computed properties:
Calculated total energy = -16.866 eV/f.u.

=====

A geometry-optimized CoCuSe3 structure, computed with PBE.

a b c (Å): 6.6368 6.6368 8.7091
angles (deg): 90.00 90.00 120.00
Space group R3m (No. 160, hexagonal axes)
Inequivalent atoms, fractional coordinates:
Co: 0.0000 0.0000 0.0000 [3 per cell]
Cu: 0.0000 0.0000 0.4053 [3 per cell]
Se: 0.1780 0.3561 0.8881 [9 per cell]

Computed properties:
Polymorph energy (0 for the lowest one) = 0.00 eV/f.u.
Calculated total energy = -20.248 eV/f.u.

=====

A geometry-optimized CoCuSe3 structure, computed with PBE.

a b c (Å): 4.684 4.684 4.684
angles (deg): 90.00 90.00 90.00
Space group Pm-3m (No. 221)
Inequivalent atoms, fractional coordinates:
Co: 0.000 0.000 0.000 [1 per cell]
Cu: 0.500 0.500 0.500 [1 per cell]
Se: 0.000 0.000 0.500 [3 per cell]

Computed properties:
Polymorph energy (0 for the lowest one) = 1.48 eV/f.u.
Calculated total energy = -18.772 eV/f.u.

=====

A geometry-optimized CoCu2Se structure, computed with PBE.

a b c (Å): 2.7093 2.7093 26.1675
angles (deg): 90.00 90.00 120.00
Space group R-3m (No. 166, hexagonal axes)
Inequivalent atoms, fractional coordinates:
Co: 0.0000 0.0000 0.0000 [3 per cell]
Cu: 0.0000 0.0000 0.2574 [6 per cell]
Se: 0.0000 0.0000 0.5000 [3 per cell]

Computed properties:
Calculated total energy = -17.233 eV/f.u.